(1)
# Na3CuF4

An optimized crystal structure of Na3CuF4 (GGA-PBE, Alexandria via LeMat-Bulk).

Results
raw total energy = -4.179 eV per atom
space group = I4/mmm
Fermi-level density of states = 0.92 states/eV per cell

The structure in POSCAR format:
```
Na3CuF4
1.0
4.7194 0.0000 0.0000
0.0000 4.7194 0.0000
-2.3597 -2.3597 4.5396
F Cu Na
4 1 3
Direct
0.5000 0.0000 0.0000 F
0.7610 0.7610 0.5219 F
0.0000 0.5000 0.0000 F
0.2390 0.2390 0.4781 F
0.0000 0.0000 0.0000 Cu
0.7500 0.2500 0.5000 Na
0.5000 0.5000 0.0000 Na
0.2500 0.7500 0.5000 Na
```

---

(2)
# Na2CuF4

An optimized crystal structure of Na2CuF4 (GGA-PBE, Alexandria via LeMat-Bulk).

Results
raw total energy = -4.285 eV per atom
space group = P2_1/c
offset from the most stable computed form = 0.0 meV/atom

The structure in POSCAR format:
```
Na2CuF4
1.0
-0.1284 -6.4214 6.8359
1.6495 -2.1408 -1.9800
5.1018 1.7963 1.7832
F Na Cu
8 4 2
Direct
0.1912 0.9881 0.1241 F
0.5497 0.5821 0.7372 F
0.3088 0.9881 0.6241 F
0.6912 0.0119 0.3759 F
0.4503 0.4179 0.2628 F
0.0497 0.4179 0.7628 F
0.8088 0.0119 0.8759 F
0.9503 0.5821 0.2372 F
0.3179 0.4813 0.9163 Na
0.8179 0.5187 0.5837 Na
0.6821 0.5187 0.0837 Na
0.1821 0.4813 0.4163 Na
0.5000 0.0000 0.5000 Cu
0.0000 0.0000 0.0000 Cu
```

---

(3)
# Na2Cu3F8

An optimized crystal structure of Na2Cu3F8 (GGA-PBE, Alexandria via LeMat-Bulk).

Results
raw total energy = -4.201 eV per atom
space group = C2/m
Fermi-level density of states = 6.51 states/eV per cell

The structure in POSCAR format:
```
Na2Cu3F8
1.0
5.7433 0.0000 0.3869
0.0000 5.9440 0.0000
-1.9313 -2.9720 5.0321
F Cu Na
8 3 2
Direct
0.4065 0.8822 0.2106 F
0.5935 0.6715 0.7894 F
0.9491 0.6091 0.2182 F
0.5935 0.1178 0.7894 F
0.4065 0.3285 0.2106 F
0.0443 0.8892 0.7785 F
0.9557 0.1108 0.2215 F
0.0509 0.3909 0.7818 F
0.5000 0.0000 0.0000 Cu
0.0000 0.7465 0.0000 Cu
0.0000 0.2535 0.0000 Cu
0.6511 0.7192 0.4384 Na
0.3489 0.2808 0.5616 Na
```

---

(4)
# Na2Cu3F8

An optimized crystal structure of Na2Cu3F8 (GGA-PBE, Alexandria via LeMat-Bulk).

Results
raw total energy = -4.201 eV per atom
space group = P-1
Fermi-level density of states = 2.66 states/eV per cell

The structure in POSCAR format:
```
Na2Cu3F8
1.0
-1.7266 -4.3435 2.2819
2.6200 -0.1508 5.7351
-3.7267 1.4832 5.4152
F Cu Na
8 3 2
Direct
0.3977 0.6787 0.1000 F
0.8898 0.9291 0.8583 F
0.3751 0.1221 0.6535 F
0.6023 0.3213 0.9000 F
0.6249 0.8779 0.3465 F
0.0724 0.5738 0.6370 F
0.1102 0.0709 0.1417 F
0.9276 0.4262 0.3630 F
0.0031 0.7428 0.2686 Cu
0.5000 0.0000 0.0000 Cu
0.9969 0.2572 0.7314 Cu
0.6497 0.2838 0.2766 Na
0.3503 0.7162 0.7234 Na
```

---

(5)
# NaCu3F

An optimized crystal structure of NaCu3F (GGA-PBE, Alexandria via LeMat-Bulk).

Results
raw total energy = -2.931 eV per atom
space group = Pm-3m
offset from the most stable computed form = 0.0 meV/atom
Fermi-level density of states = 2.00 states/eV per cell

The structure in POSCAR format:
```
NaCu3F
1.0
-0.4319 -3.9375 1.7461
-0.2929 -1.7239 -3.9600
4.2974 -0.5132 -0.0944
Na F Cu
1 1 3
Direct
0.5000 0.5000 0.5000 Na
0.0000 0.0000 0.0000 F
0.0000 0.0000 0.5000 Cu
0.5000 0.0000 0.0000 Cu
0.0000 0.5000 0.0000 Cu
```

---

(6)
# NaCu4F12

An optimized crystal structure of NaCu4F12 (GGA-PBE, Alexandria via LeMat-Bulk).

Results
raw total energy = -3.945 eV per atom
space group = Im-3
Fermi-level density of states = 8.07 states/eV per cell

The structure in POSCAR format:
```
NaCu4F12
1.0
-0.1214 6.2452 -2.0084
-3.1034 -3.7681 -4.3842
-3.0004 -0.4861 5.8148
F Cu Na
12 4 1
Direct
0.2706 0.4838 0.2132 F
0.0573 0.7868 0.2706 F
0.2132 0.7294 0.9427 F
0.7294 0.5162 0.7868 F
0.5162 0.7868 0.7294 F
0.9427 0.2132 0.7294 F
0.7868 0.2706 0.0573 F
0.7294 0.9427 0.2132 F
0.7868 0.7294 0.5162 F
0.4838 0.2132 0.2706 F
0.2132 0.2706 0.4838 F
0.2706 0.0573 0.7868 F
0.0000 0.0000 0.5000 Cu
0.0000 0.5000 0.0000 Cu
0.5000 0.0000 0.0000 Cu
0.5000 0.5000 0.5000 Cu
0.0000 0.0000 0.0000 Na
```

---

(7)
# Na2CuF4

An optimized crystal structure of Na2CuF4 (GGA-PBE, Alexandria via LeMat-Bulk).

Results
raw total energy = -4.224 eV per atom
space group = I4/mmm
offset from the most stable computed form = 60.3 meV/atom
Fermi-level density of states = 0.31 states/eV per cell

The structure in POSCAR format:
```
Na2CuF4
1.0
4.0237 0.0000 0.0000
0.0000 4.0237 0.0000
2.0118 2.0118 5.8199
F Na Cu
4 2 1
Direct
0.5000 0.0000 0.0000 F
0.0000 0.5000 0.0000 F
0.1697 0.1697 0.6607 F
0.8303 0.8303 0.3393 F
0.3585 0.3585 0.2830 Na
0.6415 0.6415 0.7170 Na
0.0000 0.0000 0.0000 Cu
```

---

(8)
# Na2Cu2F5

An optimized crystal structure of Na2Cu2F5 (GGA-PBE, Alexandria via LeMat-Bulk).

Results
raw total energy = -4.215 eV per atom
space group = C2/m
offset from the most stable computed form = 0.0 meV/atom
Fermi-level density of states = 1.94 states/eV per cell

The structure in POSCAR format:
```
Na2Cu2F5
1.0
3.8107 0.0000 1.1587
1.0149 5.2912 3.5078
0.1032 0.7883 6.5062
Cu F Na
2 5 2
Direct
0.0942 0.2074 0.6041 Cu
0.9058 0.7926 0.3959 Cu
0.1760 0.4320 0.2160 F
0.0000 0.0000 0.0000 F
0.8240 0.5680 0.7840 F
0.5905 0.1819 0.6370 F
0.4095 0.8181 0.3630 F
0.6248 0.6839 0.0664 Na
0.3752 0.3161 0.9336 Na
```

---

(9)
# Na3Cu2F6

An optimized crystal structure of Na3Cu2F6 (GGA-PBE, Alexandria via LeMat-Bulk).

Results
raw total energy = -4.183 eV per atom
space group = I4/mmm
Fermi-level density of states = 1.58 states/eV per cell

The structure in POSCAR format:
```
Na3Cu2F6
1.0
-0.6776 2.3330 3.1047
-3.8310 -0.9181 -0.1463
3.8000 -8.0947 4.4093
Cu F Na
2 6 3
Direct
0.4133 0.4133 0.8265 Cu
0.5867 0.5867 0.1735 Cu
0.3010 0.3010 0.6020 F
0.9229 0.4229 0.8458 F
0.4229 0.9229 0.8458 F
0.0771 0.5771 0.1542 F
0.5771 0.0771 0.1542 F
0.6990 0.6990 0.3980 F
0.0000 0.0000 0.0000 Na
0.1868 0.1868 0.3735 Na
0.8132 0.8132 0.6265 Na
```

---

(10)
# NaCu2F

An optimized crystal structure of NaCu2F (GGA-PBE, Alexandria via LeMat-Bulk).

Results
raw total energy = -3.592 eV per atom
space group = I-42d
offset from the most stable computed form = 0.0 meV/atom
Fermi-level density of states = 1.24 states/eV per cell

The structure in POSCAR format:
```
NaCu2F
1.0
3.2919 0.0000 0.0000
0.0000 3.2919 0.0000
1.6459 1.6459 11.2684
F Na Cu
2 2 4
Direct
0.5000 0.5000 0.0000 F
0.2500 0.7500 0.5000 F
0.0000 0.0000 0.0000 Na
0.7500 0.2500 0.5000 Na
0.3750 0.8737 0.7500 Cu
0.1263 0.1250 0.2500 Cu
0.8750 0.3763 0.7500 Cu
0.6237 0.6250 0.2500 Cu
```

---

(11)
# NaCuF6

An optimized crystal structure of NaCuF6 (GGA-PBE, Alexandria via LeMat-Bulk).

Results
raw total energy = -3.455 eV per atom
space group = C2/c

The structure in POSCAR format:
```
NaCuF6
1.0
5.3051 -0.1988 0.0260
1.2863 5.1507 0.0260
-0.0965 -0.0725 8.1895
F Cu Na
12 2 2
Direct
0.8267 0.8173 0.0007 F
0.7545 0.3882 0.6130 F
0.5646 0.1471 0.1903 F
0.8529 0.4354 0.3097 F
0.6118 0.2455 0.8870 F
0.8173 0.8267 0.5007 F
0.3882 0.7545 0.1130 F
0.2455 0.6118 0.3870 F
0.4354 0.8529 0.8097 F
0.1733 0.1827 0.9993 F
0.1827 0.1733 0.4993 F
0.1471 0.5646 0.6903 F
0.5000 0.0000 0.0000 Cu
0.0000 0.5000 0.5000 Cu
0.9875 0.0125 0.7500 Na
0.0125 0.9875 0.2500 Na
```

---

(12)
# NaCu4F8

An optimized crystal structure of NaCu4F8 (GGA-PBE, Alexandria via LeMat-Bulk).

Results
raw total energy = -4.111 eV per atom
space group = F-43m
offset from the most stable computed form = 30.2 meV/atom
Fermi-level density of states = 14.81 states/eV per cell

The structure in POSCAR format:
```
NaCu4F8
1.0
6.3622 0.0000 0.0000
3.1811 5.5099 0.0000
3.1811 1.8366 5.1947
Cu F Na
4 8 1
Direct
0.8799 0.3734 0.3734 Cu
0.3734 0.8799 0.3734 Cu
0.3734 0.3734 0.8799 Cu
0.3734 0.3734 0.3734 Cu
0.1436 0.5692 0.1436 F
0.1436 0.1436 0.1436 F
0.6068 0.1796 0.6068 F
0.1436 0.1436 0.5692 F
0.6068 0.6068 0.1796 F
0.5692 0.1436 0.1436 F
0.6068 0.6068 0.6068 F
0.1796 0.6068 0.6068 F
0.7500 0.7500 0.7500 Na
```